1.
Density functional theory data (PBE-GGA) for a geometry-optimized CsTi2MnCr structure.

The space group is P4/mmm (No. 123) and the conventional cell measures 4.691, 4.691 and 5.138 Å, with angles of 90.00, 90.00 and 90.00 degrees. The asymmetric unit holds Cs at (0.000, 0.000, 0.000), Ti at (0.000, 0.500, 0.500), Mn at (0.500, 0.500, 0.000) and Cr at (0.500, 0.500, 0.500).

The calculation puts the energy of formation from the pure elements at 1.101 eV/atom.

---

2.
Density functional theory data (PBE-GGA) for a geometry-optimized Cs3CrMo structure.

The space group is Pm-3m (No. 221) and the conventional cell measures 6.139, 6.139 and 6.139 Å, with angles of 90.00, 90.00 and 90.00 degrees. The asymmetric unit holds Cs at (0.000, 0.000, 0.500), Cr at (0.500, 0.500, 0.500) and Mo at (0.000, 0.000, 0.000).

The calculation puts the energy of formation from the pure elements at 1.839 eV/atom.

---

3.
Density functional theory data (PBE-GGA) for a geometry-optimized CsCrMoPd2 structure.

The space group is P4/mmm (No. 123) and the conventional cell measures 4.928, 4.928 and 5.468 Å, with angles of 90.00, 90.00 and 90.00 degrees. The asymmetric unit holds Cs at (0.000, 0.000, 0.000), Cr at (0.000, 0.000, 0.500), Mo at (0.500, 0.500, 0.000) and Pd at (0.000, 0.500, 0.500).

The calculation puts the energy of formation from the pure elements at 1.711 eV/atom.

---

4.
Density functional theory data (PBE-GGA) for a geometry-optimized CsZnCrMo2 structure.

The space group is P4/mmm (No. 123) and the conventional cell measures 5.140, 5.140 and 5.137 Å, with angles of 90.00, 90.00 and 90.00 degrees. The asymmetric unit holds Cs at (0.000, 0.000, 0.000), Zn at (0.500, 0.500, 0.500), Cr at (0.500, 0.500, 0.000) and Mo at (0.000, 0.500, 0.500).

The calculation puts the energy of formation from the pure elements at 1.930 eV/atom.

---

5.
Density functional theory data (PBE-GGA) for a geometry-optimized CsCrN2 structure.

The space group is Fd-3m (No. 227, origin choice 2) and the conventional cell measures 8.234, 8.234 and 8.234 Å, with angles of 90.00, 90.00 and 90.00 degrees. The asymmetric unit holds Cs at (0.125, 0.125, 0.125), Cr at (0.125, 0.125, 0.625) and N at (0.000, 0.000, 0.500).

For the uncorrected formation energy, the calculation gives -472 meV per atom.

---

6.
Density functional theory data (PBE-GGA) for a geometry-optimized CsCr3N structure.

The space group is Pm-3m (No. 221) and the conventional cell measures 4.237, 4.237 and 4.237 Å, with angles of 90.00, 90.00 and 90.00 degrees. The asymmetric unit holds Cs at (0.000, 0.000, 0.000), Cr at (0.000, 0.500, 0.500) and N at (0.500, 0.500, 0.500).

For the uncorrected formation energy, the calculation gives 1225 meV per atom.

---

7.
Density functional theory data (PBE-GGA) for a geometry-optimized CsNd2Cr2N6 structure.

The space group is C2/m (No. 12) and the conventional cell measures 11.374, 6.684 and 6.877 Å, with angles of 90.00, 120.80 and 90.00 degrees. The asymmetric unit holds Cs at (0.000, 0.000, 0.000), Nd at (0.183, 0.500, 0.299), Cr at (0.113, 0.500, 0.680), N at (0.077, 0.500, 0.892) and N at (0.180, 0.293, 0.629).

For the uncorrected formation energy, the calculation gives -533 meV per atom.

---

Across the entries above, magnetic moment takes the values 3.2, 5.1, 8.8, 12.3, 0.0, 7.8, 1.4 Bohr magnetons per cell, respectively.
Across the entries above, E_tot takes the values -5.99, -2.76, -4.63, -4.75, -7.25, -6.38, -7.77 eV/atom, respectively.